## NaGa3N (PBE-GGA)

Data for a geometry-optimized NaGa3N structure.

Structure (POSCAR):
```
NaGa3N
1.0
5.096 0.000 0.000
0.000 5.096 0.000
0.000 0.000 5.096
Na Ga N
1 3 1
direct
0.000 0.000 0.000
0.000 0.000 0.500
0.000 0.500 0.000
0.500 0.000 0.000
0.500 0.500 0.500
```

Summary:
ρ   3.09 g/cm3
VASP energy   -10.1 eV/cell
Total moment   0.00 μB/f.u.
Fermi-level density of states   4.6 states/eV/cell
SG   Pm-3m, No. 221


## NaGaN (PBE-GGA)

Data for a geometry-optimized NaGaN structure.

Structure (POSCAR):
```
NaGaN
1.0
4.245 0.000 0.000
0.000 3.300 0.000
-0.011 0.000 7.418
Na Ga N
2 2 2
direct
0.250 0.250 0.167
0.750 0.750 0.833
0.250 0.250 0.580
0.750 0.750 0.420
0.250 0.750 0.426
0.750 0.250 0.574
```

Summary:
ρ   3.41 g/cm3
VASP energy   -25.2 eV/cell
Total moment   0.00 μB/f.u.
Fermi-level density of states   1.8 states/eV/cell
SG   P2_1/m, No. 11


## NaGaN3 (PBE-GGA)

Data for a geometry-optimized NaGaN3 structure.

Structure (POSCAR):
```
NaGaN3
1.0
3.990 0.000 0.000
0.000 3.990 0.000
0.000 0.000 3.990
Na Ga N
1 1 3
direct
0.000 0.000 0.000
0.500 0.500 0.500
0.000 0.500 0.500
0.500 0.000 0.500
0.500 0.500 0.000
```

Summary:
ρ   3.52 g/cm3
VASP energy   -22.4 eV/cell
Total moment   4.64 μB/f.u.
Fermi-level density of states   3.4 states/eV/cell
SG   Pm-3m, No. 221


## NaGaN (PBE-GGA)

Data for a geometry-optimized NaGaN structure.

Structure (POSCAR):
```
NaGaN
1.0
5.656 0.000 0.000
0.000 4.843 0.000
-0.217 0.000 6.418
Na Ga N
4 4 4
direct
0.101 0.217 0.128
0.101 0.283 0.628
0.899 0.717 0.372
0.899 0.783 0.872
0.447 0.723 0.090
0.447 0.777 0.590
0.553 0.223 0.410
0.553 0.277 0.910
0.305 0.548 0.351
0.305 0.952 0.851
0.695 0.048 0.149
0.695 0.452 0.649
```

Summary:
ρ   4.03 g/cm3
VASP energy   -51.2 eV/cell
Total moment   0.00 μB/f.u.
SG   P2_1/c, No. 14


## NaGa3N (PBE-GGA)

Data for a geometry-optimized NaGa3N structure.

Structure (POSCAR):
```
NaGa3N
1.0
4.511 0.000 0.000
0.000 4.511 0.000
0.000 0.000 4.511
Na Ga N
1 3 1
direct
0.000 0.000 0.000
0.000 0.500 0.500
0.500 0.000 0.500
0.500 0.500 0.000
0.500 0.500 0.500
```

Summary:
ρ   4.45 g/cm3
VASP energy   -16.5 eV/cell
Total moment   0.00 μB/f.u.
Fermi-level density of states   2.7 states/eV/cell
SG   Pm-3m, No. 221


## Na2GaN (PBE-GGA)

Data for a geometry-optimized Na2GaN structure.

Structure (POSCAR):
```
Na2GaN
1.0
0.000 3.225 3.225
3.225 0.000 3.225
3.225 3.225 0.000
Na Ga N
2 1 1
direct
0.250 0.250 0.250
0.750 0.750 0.750
0.000 0.000 0.000
0.500 0.500 0.500
```

Summary:
ρ   3.21 g/cm3
VASP energy   -11.3 eV/cell
Total moment   0.00 μB/f.u.
Fermi-level density of states   0.0 states/eV/cell
SG   Fm-3m, No. 225


> VASP energy of number 6 (Na2GaN)?

-11.3 eV/cell


What did the fifth record say?
## NaGa3N (PBE-GGA)

Data for a geometry-optimized NaGa3N structure.

Structure (POSCAR):
```
NaGa3N
1.0
4.511 0.000 0.000
0.000 4.511 0.000
0.000 0.000 4.511
Na Ga N
1 3 1
direct
0.000 0.000 0.000
0.000 0.500 0.500
0.500 0.000 0.500
0.500 0.500 0.000
0.500 0.500 0.500
```

Summary:
ρ   4.45 g/cm3
VASP energy   -16.5 eV/cell
Total moment   0.00 μB/f.u.
Fermi-level density of states   2.7 states/eV/cell
SG   Pm-3m, No. 221


> Among the records above, which one has the highest VASP energy?

number 1


> Which of these has the lowest ρ?

number 1